[1]
VASP calculation (PBE) on crystalline Ca2Pr12Nd5 at its relaxed geometry.

Its total magnetization is 0.0 μB/f.u. Its energy of formation is 2.163 eV/f.u.

The space group is C2/m (No. 12) and the conventional cell measures 13.367, 11.971 and 9.694 Å, with angles of 90.00, 116.12 and 90.00 degrees. The inequivalent atoms are Ca at (0.000, 0.231, 0.000), Pr at (0.077, 0.000, 0.781), Pr at (0.108, 0.224, 0.423), Pr at (0.121, 0.500, 0.940), Pr at (0.195, 0.253, 0.804), Nd at (0.000, 0.500, 0.500), Nd at (0.190, 0.000, 0.234) and Nd at (0.195, 0.500, 0.334).

[2]
VASP calculation (PBE) on crystalline Ta2TiMoOs at its relaxed geometry.

Its total magnetization is 0.0 μB/f.u. Its energy of formation is 7.861 eV/f.u.

The space group is P4/mmm (No. 123) and the conventional cell measures 4.771, 4.771 and 4.454 Å, with angles of 90.00, 90.00 and 90.00 degrees. The inequivalent atoms are Ta at (0.000, 0.500, 0.000), Ti at (0.000, 0.000, 0.500), Mo at (0.000, 0.000, 0.000) and Os at (0.500, 0.500, 0.500).

[3]
VASP calculation (PBE) on crystalline SrCdAu2S at its relaxed geometry.

Its total magnetization is 0.2 μB/f.u. The energy relative to the elements, uncorrected comes out at 0.11 eV per atom.

The space group is P4/mmm (No. 123) and the conventional cell measures 5.033, 5.033 and 6.627 Å, with angles of 90.00, 90.00 and 90.00 degrees. The inequivalent atoms are Sr at (0.000, 0.000, 0.000), Cd at (0.000, 0.000, 0.500), Au at (0.000, 0.500, 0.500) and S at (0.500, 0.500, 0.000).

[4]
VASP calculation (PBE) on crystalline VTcGeN2 at its relaxed geometry.

Its total magnetization is 0.0 μB/f.u. The energy relative to the elements, uncorrected comes out at 0.84 eV per atom.

The space group is P4/mmm (No. 123) and the conventional cell measures 3.799, 3.799 and 5.151 Å, with angles of 90.00, 90.00 and 90.00 degrees. The inequivalent atoms are V at (0.000, 0.000, 0.000), Tc at (0.000, 0.000, 0.500), Ge at (0.500, 0.500, 0.000) and N at (0.000, 0.500, 0.500).

[5]
VASP calculation (PBE) on crystalline Pr4Nd2DyTm2 at its relaxed geometry.

Its total magnetization is 0.0 μB/f.u. Its energy of formation is 0.225 eV/f.u.

The space group is C2/m (No. 12) and the conventional cell measures 15.493, 5.163 and 8.097 Å, with angles of 90.00, 108.63 and 90.00 degrees. The inequivalent atoms are Pr at (0.055, 0.000, 0.329), Pr at (0.222, 0.500, 0.329), Nd at (0.112, 0.500, 0.671), Dy at (0.000, 0.500, 0.000) and Tm at (0.167, 0.000, 0.000).

[6]
VASP calculation (PBE) on crystalline KRb2Mg at its relaxed geometry.

Its total magnetization is 0.0 μB/f.u. Its energy of formation is 1.007 eV/f.u.

The space group is I-42d (No. 122) and the conventional cell measures 6.004, 6.004 and 29.459 Å, with angles of 90.00, 90.00 and 90.00 degrees. The inequivalent atoms are K at (0.000, 0.000, 0.000), Rb at (0.232, 0.250, 0.625) and Mg at (0.000, 0.000, 0.500).

[7]
VASP calculation (PBE) on crystalline Pr12Ge6O at its relaxed geometry.

Its total magnetization is 0.1 μB/f.u. The energy relative to the elements, uncorrected comes out at -0.72 eV per atom.

The space group is R-3 (No. 148, hexagonal axes) and the conventional cell measures 12.8789, 12.8789 and 12.1435 Å, with angles of 90.00, 90.00 and 120.00 degrees. The inequivalent atoms are Pr at (0.0346, 0.8284, 0.3911), Pr at (0.0465, 0.8569, 0.8826), Ge at (0.0519, 0.6108, 0.3183) and O at (0.0000, 0.0000, 0.0000).

[8]
VASP calculation (PBE) on crystalline SbCF2 at its relaxed geometry.

Its total magnetization is 1.0 μB/f.u. The energy relative to the elements, uncorrected comes out at 0.61 eV per atom. The value obtained for the energy relative to the lowest polymorph listed for this composition is 54 kJ/mol of formula units.

The space group is R-3m (No. 166, hexagonal axes) and the conventional cell measures 3.4570, 3.4570 and 18.7626 Å, with angles of 90.00, 90.00 and 120.00 degrees. The inequivalent atoms are Sb at (0.0000, 0.0000, 0.0000), C at (0.0000, 0.0000, 0.5000) and F at (0.0000, 0.0000, 0.1190).

[9]
VASP calculation (PBE) on crystalline MnCoSb2 at its relaxed geometry.

Its total magnetization is 3.5 μB/f.u. The energy relative to the elements, uncorrected comes out at 0.26 eV per atom. The value obtained for the energy relative to the lowest polymorph listed for this composition is 80 kJ/mol of formula units.

The space group is P4/mmm (No. 123) and the conventional cell measures 4.663, 4.663 and 3.209 Å, with angles of 90.00, 90.00 and 90.00 degrees. The inequivalent atoms are Mn at (0.000, 0.000, 0.000), Co at (0.500, 0.500, 0.000) and Sb at (0.000, 0.500, 0.500).

[10]
VASP calculation (PBE) on crystalline BiAsF2 at its relaxed geometry.

Its total magnetization is 0.1 μB/f.u. The energy relative to the elements, uncorrected comes out at -1.08 eV per atom. The value obtained for the energy relative to the lowest polymorph listed for this composition is 9 kJ/mol of formula units.

The space group is R-3m (No. 166, hexagonal axes) and the conventional cell measures 3.2409, 3.2409 and 25.0715 Å, with angles of 90.00, 90.00 and 120.00 degrees. The inequivalent atoms are Bi at (0.0000, 0.0000, 0.0000), As at (0.0000, 0.0000, 0.5000) and F at (0.0000, 0.0000, 0.4189).

[11]
VASP calculation (PBE) on crystalline MgScOs2 at its relaxed geometry.

Its total magnetization is 0.0 μB/f.u. Its energy of formation is 0.575 eV/f.u.

The space group is I4/mmm (No. 139) and the conventional cell measures 4.038, 4.038 and 7.976 Å, with angles of 90.00, 90.00 and 90.00 degrees. The inequivalent atoms are Mg at (0.000, 0.000, 0.000), Sc at (0.000, 0.000, 0.500) and Os at (0.000, 0.500, 0.250).

[12]
VASP calculation (PBE) on crystalline Li4CdAg2 at its relaxed geometry.

Its total magnetization is 0.0 μB/f.u. Its energy of formation is -0.854 eV/f.u. The value obtained for the energy relative to the lowest polymorph listed for this composition is 0 kJ/mol of formula units.

The space group is I4/mmm (No. 139) and the conventional cell measures 4.549, 4.549 and 12.929 Å, with angles of 90.00, 90.00 and 90.00 degrees. The inequivalent atoms are Li at (0.000, 0.500, 0.129), Cd at (0.000, 0.000, 0.000) and Ag at (0.000, 0.000, 0.242).

[13]
VASP calculation (PBE) on crystalline Fe7Ru at its relaxed geometry.

Its total magnetization is 8.4 μB/f.u. Its energy of formation is 1.423 eV/f.u.

The space group is Fm-3m (No. 225) and the conventional cell measures 7.089, 7.089 and 7.089 Å, with angles of 90.00, 90.00 and 90.00 degrees. The inequivalent atoms are Fe at (0.000, 0.000, 0.000), Fe at (0.000, 0.250, 0.250) and Ru at (0.000, 0.000, 0.500).

[14]
VASP calculation (PBE) on crystalline RhSeBr4 at its relaxed geometry.

Its total magnetization is 3.4 μB/f.u. The energy relative to the elements, uncorrected comes out at 1.21 eV per atom.

The space group is F-43m (No. 216) and the conventional cell measures 8.653, 8.653 and 8.653 Å, with angles of 90.00, 90.00 and 90.00 degrees. The inequivalent atoms are Rh at (0.000, 0.000, 0.000), Se at (0.250, 0.250, 0.750) and Br at (0.126, 0.126, 0.374).

[15]
VASP calculation (PBE) on crystalline Zr3RuC at its relaxed geometry.

Its total magnetization is 0.0 μB/f.u. Its energy of formation is -1.243 eV/f.u. The value obtained for the energy relative to the lowest polymorph listed for this composition is 0 kJ/mol of formula units.

The space group is Pm-3m (No. 221) and the conventional cell measures 4.493, 4.493 and 4.493 Å, with angles of 90.00, 90.00 and 90.00 degrees. The inequivalent atoms are Zr at (0.000, 0.000, 0.500), Ru at (0.500, 0.500, 0.500) and C at (0.000, 0.000, 0.000).

[16]
VASP calculation (PBE) on crystalline Sr2CuTe at its relaxed geometry.

Its total magnetization is 0.0 μB/f.u. The energy relative to the elements, uncorrected comes out at -0.50 eV per atom.

The space group is R3m (No. 160, hexagonal axes) and the conventional cell measures 4.3703, 4.3703 and 25.5989 Å, with angles of 90.00, 90.00 and 120.00 degrees. The inequivalent atoms are Sr at (0.0000, 0.0000, 0.0000), Sr at (0.0000, 0.0000, 0.1926), Cu at (0.0000, 0.0000, 0.7420) and Te at (0.0000, 0.0000, 0.4369).

[17]
VASP calculation (PBE) on crystalline Ca2TcH6 at its relaxed geometry.

Its total magnetization is 1.0 μB/f.u. The calculation puts the total energy at -4.26 eV per atom.

The space group is Fm-3m (No. 225) and the conventional cell measures 7.284, 7.284 and 7.284 Å, with angles of 90.00, 90.00 and 90.00 degrees. The inequivalent atoms are Ca at (0.250, 0.250, 0.250), Tc at (0.000, 0.000, 0.000) and H at (0.000, 0.000, 0.243).

[18]
VASP calculation (PBE) on crystalline SrFePt2 at its relaxed geometry.

Its total magnetization is 2.8 μB/f.u. Its energy of formation is -1.407 eV/f.u.

The space group is R3m (No. 160, hexagonal axes) and the conventional cell measures 4.4297, 4.4297 and 16.0064 Å, with angles of 90.00, 90.00 and 120.00 degrees. The inequivalent atoms are Sr at (0.0000, 0.0000, 0.0000), Fe at (0.0000, 0.0000, 0.1851), Pt at (0.0000, 0.0000, 0.5178) and Pt at (0.0000, 0.0000, 0.8108).

[19]
VASP calculation (PBE) on crystalline MoRhI2N at its relaxed geometry.

Its total magnetization is 4.4 μB/f.u. The energy relative to the elements, uncorrected comes out at 0.99 eV per atom. The value obtained for the energy relative to the lowest polymorph listed for this composition is 104 kJ/mol of formula units.

The space group is P4/mmm (No. 123) and the conventional cell measures 5.660, 5.660 and 3.705 Å, with angles of 90.00, 90.00 and 90.00 degrees. The inequivalent atoms are Mo at (0.000, 0.000, 0.000), Rh at (0.500, 0.500, 0.500), I at (0.000, 0.500, 0.500) and N at (0.500, 0.500, 0.000).

[20]
VASP calculation (PBE) on crystalline YErSc2S6 at its relaxed geometry.

Its total magnetization is 0.0 μB/f.u. The energy relative to the elements, uncorrected comes out at -1.96 eV per atom.

The space group is R3 (No. 146, hexagonal axes) and the conventional cell measures 6.6861, 6.6861 and 17.9057 Å, with angles of 90.00, 90.00 and 120.00 degrees. The inequivalent atoms are Y at (0.0000, 0.0000, 0.0000), Er at (0.0000, 0.0000, 0.4987), Sc at (0.0000, 0.0000, 0.3002), Sc at (0.0000, 0.0000, 0.8008), S at (0.0168, 0.6419, 0.5609) and S at (0.0176, 0.3796, 0.0612).